! TiTc2Sn (PBE, optimized geometry); values from VASP
&SYSTEM
  ibrav = 0, nat = 8, ntyp = 3
/
ATOMIC_SPECIES
Ti 47.87 Ti.upf
Tc 98.00 Tc.upf
Sn 118.71 Sn.upf
CELL_PARAMETERS angstrom
-2.004 2.004 9.249
2.004 -2.004 9.249
2.004 2.004 -9.249
ATOMIC_POSITIONS angstrom
Ti 0.000 0.000 0.000
Ti 0.000 2.004 4.625
Tc 3.007 0.719 -2.312
Tc 0.719 1.002 2.312
Tc -1.002 1.285 6.937
Tc 1.285 1.002 11.562
Sn 2.004 0.000 4.625
Sn 0.000 0.000 9.249
! Crystal system: tetragonal
! E_form: 9.13 kcal/mol of atoms